BiMo3Os: relaxed, GGA-PBE.

```
5
Lattice="4.816 0.000 0.000 0.000 4.816 0.000 0.000 0.000 4.816" Properties=species:S:1:pos:R:3 pbc="T T T"
Bi 0.000 0.000 0.000
Mo 0.000 2.408 2.408
Mo 2.408 0.000 2.408
Mo 2.408 2.408 0.000
Os 2.408 2.408 2.408
```

Values from the calculation:
space-group type = Pm-3m, No. 221
energy relative to the elements = 1.424 eV/atom

---

LaScP2S: relaxed, GGA-PBE.

```
5
Lattice="5.298 0.000 0.000 0.000 5.298 0.000 0.000 0.000 5.334" Properties=species:S:1:pos:R:3 pbc="T T T"
La 0.000 0.000 0.000
Sc 2.649 2.649 2.667
P 0.000 2.649 0.000
P 2.649 0.000 0.000
S 0.000 0.000 2.667
```

Values from the calculation:
E_form (uncorrected) = 0.19 eV/atom
space-group type = P4/mmm, No. 123

---

AlNi2Sn2: relaxed, GGA-PBE.

```
10
Lattice="6.566 0.000 0.000 0.000 6.566 0.000 0.000 0.000 3.947" Properties=species:S:1:pos:R:3 pbc="T T T"
Al 0.000 0.000 0.000
Al 3.283 3.283 0.000
Ni 0.927 2.356 0.000
Ni 2.356 5.640 0.000
Ni 4.210 0.927 0.000
Ni 5.640 4.210 0.000
Sn 1.089 4.373 1.973
Sn 2.194 1.089 1.973
Sn 4.373 5.477 1.973
Sn 5.477 2.194 1.973
```

Values from the calculation:
space-group type = P4/mbm, No. 127
energy relative to the elements = -0.079 eV/atom

---

Number 1: electronic total energy -8.097 eV per atom. Number 2: electronic total energy -5.053 eV per atom. Number 3: electronic total energy -4.741 eV per atom.